No. 1
VASP calculation (PBE) on TiAlFeS2 after structural relaxation.

Cell: 4.507 4.507 4.987 Å, 90.00 90.00 90.00°
Fractional positions:
Ti 0.000 0.000 0.000
Al 0.000 0.000 0.500
Fe 0.500 0.500 0.000
S 0.000 0.500 0.500
S 0.500 0.000 0.500

Summary:
As for the total magnetic moment: 0.45 μB per atom. Its energy is -4.8926 eV/atom.



No. 2
VASP calculation (PBE) on Al2FeSb after structural relaxation.

Cell: 3.930 3.930 4.429 Å, 90.00 90.00 90.00°
Fractional positions:
Al 0.000 0.500 0.000
Al 0.500 0.000 0.000
Fe 0.000 0.000 0.500
Sb 0.500 0.500 0.500

Summary:
As for the total magnetic moment: 0.48 μB per atom. Its energy is -4.7253 eV/atom.



No. 3
VASP calculation (PBE) on Al2FeSb after structural relaxation.

Cell: 4.120 4.120 8.075 Å, 90.00 90.00 90.00°
Fractional positions:
Al 0.000 0.000 0.000
Al 0.000 0.500 0.250
Al 0.500 0.000 0.750
Al 0.500 0.500 0.500
Fe 0.000 0.500 0.750
Fe 0.500 0.000 0.250
Sb 0.000 0.000 0.500
Sb 0.500 0.500 0.000

Summary:
As for the total magnetic moment: 0.53 μB per atom. Its energy is -4.7463 eV/atom.



No. 4
VASP calculation (PBE) on Al2FeSb after structural relaxation.

Cell: 8.545 2.959 6.311 Å, 90.00 111.18 90.00°
Fractional positions:
Al 0.000 0.000 0.000
Al 0.190 0.000 0.710
Al 0.500 0.500 0.000
Al 0.690 0.500 0.710
Fe 0.231 0.500 0.030
Fe 0.731 0.000 0.030
Sb 0.343 0.000 0.386
Sb 0.843 0.500 0.386

Summary:
As for the total magnetic moment: 0.00 μB per atom. Its energy is -5.0015 eV/atom.



No. 5
VASP calculation (PBE) on Al2FeSb after structural relaxation.

Cell: 2.941 2.941 7.963 Å, 90.00 90.00 90.00°
Fractional positions:
Al 0.000 0.000 0.171
Al 0.000 0.000 0.829
Fe 0.500 0.500 0.000
Sb 0.500 0.500 0.500

Summary:
As for the total magnetic moment: 0.00 μB per atom. Its energy is -5.0340 eV/atom.



No. 6
VASP calculation (PBE) on Al2FeSb after structural relaxation.

Cell: 5.363 10.142 3.131 Å, 90.00 123.46 90.00°
Fractional positions:
Al 0.250 0.250 0.000
Al 0.250 0.750 0.000
Al 0.750 0.250 0.000
Al 0.750 0.750 0.000
Fe 0.000 0.000 0.000
Fe 0.500 0.500 0.000
Sb 0.000 0.500 0.000
Sb 0.500 0.000 0.000

Summary:
As for the total magnetic moment: 0.56 μB per atom. Its energy is -4.7417 eV/atom.



No. 7
VASP calculation (PBE) on Al2FeSb after structural relaxation.

Cell: 4.284 4.284 17.041 Å, 90.00 90.00 90.00°
Fractional positions:
Al 0.175 0.250 0.125
Al 0.250 0.675 0.375
Al 0.250 0.825 0.875
Al 0.325 0.250 0.625
Al 0.675 0.750 0.625
Al 0.750 0.175 0.875
Al 0.750 0.325 0.375
Al 0.825 0.750 0.125
Fe 0.000 0.000 0.000
Fe 0.000 0.500 0.250
Fe 0.500 0.000 0.750
Fe 0.500 0.500 0.500
Sb 0.000 0.000 0.500
Sb 0.000 0.500 0.750
Sb 0.500 0.000 0.250
Sb 0.500 0.500 0.000

Summary:
As for the total magnetic moment: 0.52 μB per atom. Its energy is -4.7526 eV/atom.



No. 8
VASP calculation (PBE) on Al2FeSb after structural relaxation.

Cell: 6.387 6.387 6.387 Å, 90.00 90.00 90.00°
Fractional positions:
Al 0.000 0.000 0.000
Al 0.000 0.500 0.500
Al 0.250 0.250 0.250
Al 0.250 0.750 0.750
Al 0.500 0.000 0.500
Al 0.500 0.500 0.000
Al 0.750 0.250 0.750
Al 0.750 0.750 0.250
Fe 0.000 0.000 0.500
Fe 0.000 0.500 0.000
Fe 0.500 0.000 0.000
Fe 0.500 0.500 0.500
Sb 0.250 0.250 0.750
Sb 0.250 0.750 0.250
Sb 0.750 0.250 0.250
Sb 0.750 0.750 0.750

Summary:
As for the total magnetic moment: 0.04 μB per atom. Its energy is -4.6657 eV/atom.



No. 9
VASP calculation (PBE) on AlFeSb3 after structural relaxation.

Cell: 4.984 4.984 4.984 Å, 90.00 90.00 90.00°
Fractional positions:
Al 0.000 0.000 0.000
Fe 0.500 0.500 0.500
Sb 0.000 0.500 0.500
Sb 0.500 0.000 0.500
Sb 0.500 0.500 0.000

Summary:
As for the total magnetic moment: 0.32 μB per atom. The calculation puts the energy above the most stable polymorph in this dataset at 0.000 eV per atom. Its energy is -4.4138 eV/atom.



No. 10
VASP calculation (PBE) on Al2FeSb after structural relaxation.

Cell: 3.214 3.214 24.030 Å, 90.00 90.00 120.00°
Fractional positions:
Al 0.000 0.000 0.000
Al 0.000 0.000 0.245
Al 0.333 0.667 0.667
Al 0.333 0.667 0.912
Al 0.667 0.333 0.333
Al 0.667 0.333 0.578
Fe 0.000 0.000 0.507
Fe 0.333 0.667 0.173
Fe 0.667 0.333 0.840
Sb 0.000 0.000 0.763
Sb 0.333 0.667 0.430
Sb 0.667 0.333 0.097

Summary:
As for the total magnetic moment: 0.44 μB per atom. Its energy is -4.8254 eV/atom.



No. 11
VASP calculation (PBE) on Al2FeSb after structural relaxation.

Cell: 5.229 7.682 3.457 Å, 90.00 90.00 90.00°
Fractional positions:
Al 0.250 0.250 0.000
Al 0.250 0.750 0.000
Al 0.750 0.250 0.000
Al 0.750 0.750 0.000
Fe 0.000 0.000 0.500
Fe 0.500 0.500 0.500
Sb 0.000 0.500 0.500
Sb 0.500 0.000 0.500

Summary:
As for the total magnetic moment: 0.47 μB per atom. Its energy is -4.7584 eV/atom.



No. 12
VASP calculation (PBE) on AlFeSb6 after structural relaxation.

Cell: 8.149 8.149 9.516 Å, 124.98 124.98 70.18°
Fractional positions:
Al 0.000 0.500 0.000
Al 0.500 0.000 0.000
Fe 0.000 0.500 0.500
Fe 0.500 0.000 0.500
Sb 0.001 0.312 0.639
Sb 0.141 0.822 0.829
Sb 0.178 0.859 0.171
Sb 0.312 0.001 0.639
Sb 0.342 0.342 0.521
Sb 0.354 0.354 0.214
Sb 0.646 0.646 0.786
Sb 0.658 0.658 0.479
Sb 0.688 0.999 0.361
Sb 0.822 0.141 0.829
Sb 0.859 0.178 0.171
Sb 0.999 0.688 0.361

Summary:
As for the total magnetic moment: 0.06 μB per atom. Its energy is -4.6120 eV/atom.



No. 13
VASP calculation (PBE) on Al3FeSb after structural relaxation.

Cell: 4.615 4.615 4.615 Å, 90.00 90.00 90.00°
Fractional positions:
Al 0.000 0.000 0.500
Al 0.000 0.500 0.000
Al 0.500 0.000 0.000
Fe 0.000 0.000 0.000
Sb 0.500 0.500 0.500

Summary:
As for the total magnetic moment: 0.37 μB per atom. The calculation puts the energy above the most stable polymorph in this dataset at 0.000 eV per atom. Its energy is -4.5340 eV/atom.



No. 14
VASP calculation (PBE) on Al2FeSb after structural relaxation.

Cell: 8.554 3.168 5.085 Å, 90.00 103.04 90.00°
Fractional positions:
Al 0.226 0.000 0.187
Al 0.274 0.500 0.813
Al 0.726 0.500 0.187
Al 0.774 0.000 0.813
Fe 0.000 0.500 0.000
Fe 0.500 0.000 0.000
Sb 0.000 0.000 0.500
Sb 0.500 0.500 0.500

Summary:
As for the total magnetic moment: 0.00 μB per atom. Its energy is -4.8362 eV/atom.



No. 15
VASP calculation (PBE) on Al2FeSb after structural relaxation.

Cell: 2.978 2.978 7.787 Å, 90.00 90.00 90.00°
Fractional positions:
Al 0.000 0.000 0.000
Al 0.500 0.500 0.251
Fe 0.000 0.000 0.428
Sb 0.500 0.500 0.640

Summary:
As for the total magnetic moment: 0.00 μB per atom. Its energy is -4.9442 eV/atom.



No. 16
VASP calculation (PBE) on Al2FeSb after structural relaxation.

Cell: 3.493 4.243 5.066 Å, 90.00 108.60 90.00°
Fractional positions:
Al 0.158 0.000 0.282
Al 0.842 0.000 0.718
Fe 0.500 0.500 0.500
Sb 0.500 0.500 0.000

Summary:
As for the total magnetic moment: 0.33 μB per atom. Its energy is -4.7826 eV/atom.



No. 17
VASP calculation (PBE) on Al4FeSb after structural relaxation.

Cell: 5.318 5.318 5.318 Å, 60.00 60.00 60.00°
Fractional positions:
Al 0.376 0.376 0.376
Al 0.376 0.376 0.872
Al 0.376 0.872 0.376
Al 0.872 0.376 0.376
Fe 0.750 0.750 0.750
Sb 0.000 0.000 0.000

Summary:
As for the total magnetic moment: 0.46 μB per atom. Its energy is -4.2919 eV/atom.



No. 18
VASP calculation (PBE) on Al2FeSb after structural relaxation.

Cell: 3.121 3.121 24.957 Å, 90.00 90.00 120.00°
Fractional positions:
Al 0.000 0.000 0.235
Al 0.000 0.000 0.765
Al 0.333 0.667 0.432
Al 0.333 0.667 0.902
Al 0.667 0.333 0.098
Al 0.667 0.333 0.568
Fe 0.000 0.000 0.500
Fe 0.333 0.667 0.167
Fe 0.667 0.333 0.833
Sb 0.000 0.000 0.000
Sb 0.333 0.667 0.667
Sb 0.667 0.333 0.333

Summary:
As for the total magnetic moment: 0.31 μB per atom. Its energy is -4.8786 eV/atom.



No. 19
VASP calculation (PBE) on AlFeSb4 after structural relaxation.

Cell: 6.155 6.155 6.155 Å, 60.00 60.00 60.00°
Fractional positions:
Al 0.000 0.000 0.000
Fe 0.750 0.750 0.750
Sb 0.375 0.375 0.375
Sb 0.375 0.375 0.875
Sb 0.375 0.875 0.375
Sb 0.875 0.375 0.375

Summary:
As for the total magnetic moment: 0.58 μB per atom. Its energy is -4.0015 eV/atom.



No. 20
VASP calculation (PBE) on Al2FeSb after structural relaxation.

Cell: 3.926 3.926 8.348 Å, 90.00 90.00 90.00°
Fractional positions:
Al 0.000 0.500 0.250
Al 0.000 0.500 0.750
Al 0.500 0.000 0.250
Al 0.500 0.000 0.750
Fe 0.000 0.000 0.000
Fe 0.500 0.500 0.500
Sb 0.000 0.000 0.500
Sb 0.500 0.500 0.000

Summary:
As for the total magnetic moment: 0.24 μB per atom. Its energy is -4.7761 eV/atom.



No. 21
VASP calculation (PBE) on Al2FeSb after structural relaxation.

Cell: 3.528 3.997 5.189 Å, 90.00 109.63 90.00°
Fractional positions:
Al 0.000 0.000 0.000
Al 0.427 0.500 0.855
Fe 0.139 0.500 0.279
Sb 0.724 0.000 0.453

Summary:
As for the total magnetic moment: 0.31 μB per atom. Its energy is -4.9287 eV/atom.



No. 22
VASP calculation (PBE) on AlFe6Sb after structural relaxation.

Cell: 6.444 6.444 10.596 Å, 90.00 90.00 109.94°
Fractional positions:
Al 0.000 0.000 0.245
Al 0.000 0.000 0.755
Al 0.252 0.748 0.000
Al 0.748 0.252 0.000
Fe 0.000 0.000 0.000
Fe 0.000 0.000 0.500
Fe 0.118 0.371 0.120
Fe 0.118 0.371 0.880
Fe 0.120 0.366 0.370
Fe 0.120 0.366 0.630
Fe 0.245 0.755 0.243
Fe 0.245 0.755 0.757
Fe 0.366 0.120 0.370
Fe 0.366 0.120 0.630
Fe 0.371 0.118 0.120
Fe 0.371 0.118 0.880
Fe 0.500 0.500 0.000
Fe 0.500 0.500 0.500
Fe 0.629 0.882 0.120
Fe 0.629 0.882 0.880
Fe 0.634 0.880 0.370
Fe 0.634 0.880 0.630
Fe 0.755 0.245 0.243
Fe 0.755 0.245 0.757
Fe 0.880 0.634 0.370
Fe 0.880 0.634 0.630
Fe 0.882 0.629 0.120
Fe 0.882 0.629 0.880
Sb 0.253 0.747 0.500
Sb 0.500 0.500 0.246
Sb 0.500 0.500 0.754
Sb 0.747 0.253 0.500

Summary:
As for the total magnetic moment: 1.68 μB per atom. Its energy is -7.3577 eV/atom.



No. 23
VASP calculation (PBE) on AlFeSb3 after structural relaxation.

Cell: 5.226 5.226 5.226 Å, 90.00 90.00 90.00°
Fractional positions:
Al 0.000 0.000 0.000
Fe 0.500 0.500 0.500
Sb 0.000 0.000 0.500
Sb 0.000 0.500 0.000
Sb 0.500 0.000 0.000

Summary:
As for the total magnetic moment: 0.59 μB per atom. The calculation puts the energy above the most stable polymorph in this dataset at 0.551 eV per atom. Its energy is -3.8625 eV/atom.



No. 24
VASP calculation (PBE) on AlFeSb2Te after structural relaxation.

Cell: 5.173 5.173 5.286 Å, 90.00 90.00 90.00°
Fractional positions:
Al 0.000 0.000 0.000
Fe 0.500 0.500 0.500
Sb 0.000 0.500 0.000
Sb 0.500 0.000 0.000
Te 0.000 0.000 0.500

Summary:
As for the total magnetic moment: 0.01 μB per atom. The calculation puts the energy above the most stable polymorph in this dataset at 0.787 eV per atom. Its energy is -3.4649 eV/atom.



No. 25
VASP calculation (PBE) on AlFeSb2Te after structural relaxation.

Cell: 4.753 4.753 5.750 Å, 90.00 90.00 90.00°
Fractional positions:
Al 0.000 0.000 0.000
Fe 0.500 0.500 0.500
Sb 0.000 0.500 0.500
Sb 0.500 0.000 0.500
Te 0.500 0.500 0.000

Summary:
As for the total magnetic moment: 0.03 μB per atom. The calculation puts the energy above the most stable polymorph in this dataset at 0.000 eV per atom. Its energy is -4.2520 eV/atom.



No. 26
VASP calculation (PBE) on AlFe2SbW after structural relaxation.

Cell: 4.526 4.526 5.171 Å, 90.00 90.00 90.00°
Fractional positions:
Al 0.000 0.000 0.000
Fe 0.000 0.500 0.500
Fe 0.500 0.000 0.500
Sb 0.500 0.500 0.000
W 0.500 0.500 0.500

Summary:
As for the total magnetic moment: 0.03 μB per atom. The calculation puts the energy above the most stable polymorph in this dataset at 0.000 eV per atom. Its energy is -6.0320 eV/atom.



No. 27
VASP calculation (PBE) on AlFe2SbW after structural relaxation.

Cell: 4.590 4.590 5.051 Å, 90.00 90.00 90.00°
Fractional positions:
Al 0.000 0.000 0.000
Fe 0.000 0.500 0.500
Fe 0.500 0.000 0.500
Sb 0.000 0.000 0.500
W 0.500 0.500 0.000

Summary:
As for the total magnetic moment: 0.38 μB per atom. The calculation puts the energy above the most stable polymorph in this dataset at 0.379 eV per atom. Its energy is -5.6528 eV/atom.



no.,ρ (g cm⁻³)
1,3.2
2,5.6
3,5.6
4,5.2
5,5.6
6,5.4
7,4.9
8,5.9
9,6.0
10,5.4
11,5.5
12,6.4
13,4.4
14,5.7
15,5.6
16,5.4
17,4.5
18,5.5
19,5.7
20,6.0
21,5.6
22,7.8
23,5.2
24,5.3
25,5.8
26,7.0
27,6.9